1.
An optimized crystal structure of Sc2BiAs, computed with PBE-GGA.

Summary:
Energy of formation   -0.934 eV per atom
DOS(E_F)   2.32 states/eV per cell
Electronic total energy   -0.4581 Ry per atom
Size of the total moment   0.00 μB/f.u.

a b c (Å): 3.9528 3.9528 7.4632
angles (deg): 74.64 74.64 60.00
Sites, in units of the cell vectors:
Bi: 0.4988 0.4988 0.5034
Sc: 0.0707 0.0707 0.7879
Sc: 0.2618 0.2618 0.2146
As: 0.6687 0.6687 0.9940

2.
An optimized crystal structure of Sc3BiAs, computed with PBE-GGA.

Summary:
Energy of formation   -0.545 eV per atom
DOS(E_F)   6.25 states/eV per cell
Electronic total energy   -0.4446 Ry per atom
Size of the total moment   0.00 μB/f.u.

a b c (Å): 5.0516 5.0516 5.0516
angles (deg): 90.00 90.00 90.00
Sites, in units of the cell vectors:
Bi: 0.5000 0.5000 0.5000
Sc: 0.5000 0.0000 0.0000
Sc: 0.0000 0.0000 0.5000
Sc: 0.0000 0.5000 0.0000
As: 0.0000 0.0000 0.0000

3.
An optimized crystal structure of ScBiAs3, computed with PBE-GGA.

Summary:
Energy of formation   0.180 eV per atom
DOS(E_F)   3.51 states/eV per cell
Electronic total energy   -0.3420 Ry per atom
Size of the total moment   0.00 μB/f.u.

a b c (Å): 5.1134 5.1134 5.1134
angles (deg): 90.00 90.00 90.00
Sites, in units of the cell vectors:
As: 0.0000 0.5000 0.0000
As: 0.5000 0.0000 0.0000
As: 0.0000 0.0000 0.5000
Bi: 0.5000 0.5000 0.5000
Sc: 0.0000 0.0000 0.0000

4.
An optimized crystal structure of Sc2BiAs, computed with PBE-GGA.

Summary:
Energy of formation   -0.542 eV per atom
DOS(E_F)   0.00 states/eV per cell
Electronic total energy   -0.4293 Ry per atom
Size of the total moment   0.00 μB/f.u.

a b c (Å): 6.5115 6.5115 7.7340
angles (deg): 65.10 65.10 90.00
Sites, in units of the cell vectors:
Bi: 0.0000 0.0000 0.0000
Bi: 0.7500 0.2500 0.5000
Sc: 0.1611 0.6250 0.2500
Sc: 0.3750 0.4111 0.7500
Sc: 0.5889 0.1250 0.2500
Sc: 0.8750 0.8389 0.7500
As: 0.5000 0.5000 0.0000
As: 0.2500 0.7500 0.5000